# 1
First-principles (PBE-GGA) data for a relaxed Rb2NpAgBr6 crystal, as listed in Alexandria.

Structure (POSCAR):
```
Rb2NpAgBr6
1.0
7.8563 0.0000 0.0077
0.0000 8.2093 0.0000
0.0787 0.0000 11.2189
Br Np Rb Ag
12 2 4 2
direct
0.4183 0.9827 0.7513 Br
0.8024 0.7932 0.9614 Br
0.0817 0.4827 0.7487 Br
0.9183 0.5173 0.2513 Br
0.7957 0.7989 0.5434 Br
0.7043 0.2989 0.9566 Br
0.3024 0.7068 0.4614 Br
0.2957 0.7011 0.0434 Br
0.5817 0.0173 0.2487 Br
0.2043 0.2011 0.4566 Br
0.1976 0.2068 0.0386 Br
0.6976 0.2932 0.5386 Br
0.5000 0.0000 0.5000 Np
0.0000 0.5000 0.0000 Np
0.9801 0.0651 0.7497 Rb
0.0199 0.9349 0.2503 Rb
0.5199 0.5651 0.7503 Rb
0.4801 0.4349 0.2497 Rb
0.0000 0.5000 0.5000 Ag
0.5000 0.0000 0.0000 Ag
```

Calculated values
- ΔE_f (raw) (eV/f.u.) = -13.1
- Fermi-level density of states (states/eV/cell) = 9.89
- final energy (eV per atom) = -4.091
- space group = P2_1/c



# 2
First-principles (PBE-GGA) data for a relaxed Rb4NpAg3Br12 crystal, as listed in Alexandria.

Structure (POSCAR):
```
Rb4NpAg3Br12
1.0
-5.1738 7.7144 2.8021
-1.0457 -7.1288 6.4976
9.3670 2.4464 -0.6376
Rb Br Ag Np
4 12 3 1
direct
0.5000 0.0000 0.0000 Rb
0.0000 0.0000 0.5000 Rb
0.5000 0.5000 0.5000 Rb
0.0000 0.5000 0.0000 Rb
0.2436 0.2436 0.0000 Br
0.5000 0.2500 0.7500 Br
0.7564 0.0000 0.7564 Br
0.7500 0.5000 0.2500 Br
0.7500 0.2500 0.5000 Br
0.5000 0.7500 0.2500 Br
0.0000 0.7564 0.7564 Br
0.7564 0.7564 0.0000 Br
0.2500 0.5000 0.7500 Br
0.0000 0.2436 0.2436 Br
0.2436 0.0000 0.2436 Br
0.2500 0.7500 0.5000 Br
0.0000 0.5000 0.5000 Ag
0.5000 0.0000 0.5000 Ag
0.5000 0.5000 0.0000 Ag
0.0000 0.0000 0.0000 Np
```

Calculated values
- ΔE_f (raw) (eV/f.u.) = -22.3
- Fermi-level density of states (states/eV/cell) = 16.81
- final energy (eV per atom) = -3.385
- space group = Im-3m



# 3
First-principles (PBE-GGA) data for a relaxed RbNpAgBr6 crystal, as listed in Alexandria.

Structure (POSCAR):
```
RbNpAgBr6
1.0
7.3350 0.0000 0.0000
-3.6675 6.3523 0.0000
0.0000 0.0000 15.4763
Ag Np Br Rb
2 2 12 2
direct
0.6667 0.3333 0.7500 Ag
0.3333 0.6667 0.2500 Ag
0.6667 0.3333 0.2500 Np
0.3333 0.6667 0.7500 Np
0.9866 0.6275 0.3558 Br
0.3725 0.3590 0.3558 Br
0.0134 0.3725 0.6442 Br
0.3725 0.0134 0.1442 Br
0.6275 0.6410 0.6442 Br
0.6410 0.0134 0.3558 Br
0.3590 0.3725 0.8558 Br
0.9866 0.3590 0.1442 Br
0.6410 0.6275 0.1442 Br
0.6275 0.9866 0.8558 Br
0.0134 0.6410 0.8558 Br
0.3590 0.9866 0.6442 Br
0.0000 0.0000 0.5000 Rb
0.0000 0.0000 0.0000 Rb
```

Calculated values
- ΔE_f (raw) (eV/f.u.) = -10.5
- Fermi-level density of states (states/eV/cell) = 9.69
- final energy (eV per atom) = -4.149
- space group = P-31c



# 4
First-principles (PBE-GGA) data for a relaxed Rb3NpAg2Br8 crystal, as listed in Alexandria.

Structure (POSCAR):
```
Rb3NpAg2Br8
1.0
7.9301 0.0000 0.0000
-3.9650 6.8676 0.0000
0.0000 0.0000 10.3085
Rb Br Ag Np
3 8 2 1
direct
0.0000 0.0000 0.0000 Rb
0.6667 0.3333 0.3860 Rb
0.3333 0.6667 0.6140 Rb
0.3340 0.1670 0.6673 Br
0.1670 0.8330 0.3327 Br
0.3333 0.6667 0.9296 Br
0.8330 0.1670 0.6673 Br
0.8330 0.6660 0.6673 Br
0.6667 0.3333 0.0704 Br
0.6660 0.8330 0.3327 Br
0.1670 0.3340 0.3327 Br
0.6667 0.3333 0.8255 Ag
0.3333 0.6667 0.1745 Ag
0.0000 0.0000 0.5000 Np
```

Calculated values
- ΔE_f (raw) (eV/f.u.) = -16.5
- Fermi-level density of states (states/eV/cell) = 6.59
- final energy (eV per atom) = -3.673
- space group = P-3m1



# 5
First-principles (PBE-GGA) data for a relaxed RbNpAgBr5 crystal, as listed in Alexandria.

Structure (POSCAR):
```
RbNpAgBr5
1.0
8.0832 -0.0820 -0.0148
-2.4380 7.7072 -0.0148
-2.3502 -3.1746 10.2560
Rb Np Br Ag
2 2 10 2
direct
0.3471 0.6529 0.2500 Rb
0.6529 0.3471 0.7500 Rb
0.0000 0.0000 0.5000 Np
0.0000 0.0000 0.0000 Np
0.0883 0.6868 0.9020 Br
0.6290 0.7488 0.9348 Br
0.9117 0.3132 0.0980 Br
0.0736 0.9264 0.2500 Br
0.9264 0.0736 0.7500 Br
0.2512 0.3710 0.5652 Br
0.6868 0.0883 0.4020 Br
0.3710 0.2512 0.0652 Br
0.7488 0.6290 0.4348 Br
0.3132 0.9117 0.5980 Br
0.6893 0.3107 0.2500 Ag
0.3107 0.6893 0.7500 Ag
```

Calculated values
- ΔE_f (raw) (eV/f.u.) = -9.5
- Fermi-level density of states (states/eV/cell) = 10.62
- final energy (eV per atom) = -4.330
- space group = C2/c



# 6
First-principles (PBE-GGA) data for a relaxed RbNpAg2Br8 crystal, as listed in Alexandria.

Structure (POSCAR):
```
RbNpAg2Br8
1.0
7.6849 0.0000 0.0000
-3.8424 6.6553 0.0000
0.0000 0.0000 9.4738
Ag Br Np Rb
2 8 1 1
direct
0.6667 0.3333 0.3382 Ag
0.3333 0.6667 0.6618 Ag
0.6667 0.3333 0.6008 Br
0.6748 0.8374 0.8298 Br
0.3333 0.6667 0.3992 Br
0.3252 0.1626 0.1702 Br
0.1626 0.3252 0.8298 Br
0.1626 0.8374 0.8298 Br
0.8374 0.1626 0.1702 Br
0.8374 0.6748 0.1702 Br
0.0000 0.0000 0.0000 Np
0.0000 0.0000 0.5000 Rb
```

Calculated values
- ΔE_f (raw) (eV/f.u.) = -10.3
- Fermi-level density of states (states/eV/cell) = 11.25
- final energy (eV per atom) = -3.605
- space group = P-3m1



# 7
First-principles (PBE-GGA) data for a relaxed NpAgSnBr6 crystal, as listed in Alexandria.

Structure (POSCAR):
```
NpAgSnBr6
1.0
-1.0690 5.2661 -4.7837
0.6349 -6.8106 -2.2295
-13.4991 -1.6510 1.1993
Ag Br Sn Np
2 12 2 2
direct
0.6667 0.3333 0.7500 Ag
0.3333 0.6667 0.2500 Ag
0.6562 0.0013 0.3740 Br
0.9987 0.3438 0.1260 Br
0.3438 0.3451 0.8740 Br
0.3438 0.9987 0.6260 Br
0.0013 0.3451 0.6260 Br
0.3451 0.0013 0.1260 Br
0.3451 0.3438 0.3740 Br
0.6549 0.9987 0.8740 Br
0.9987 0.6549 0.3740 Br
0.0013 0.6562 0.8740 Br
0.6562 0.6549 0.1260 Br
0.6549 0.6562 0.6260 Br
0.0000 0.0000 0.0000 Sn
0.0000 0.0000 0.5000 Sn
0.3333 0.6667 0.7500 Np
0.6667 0.3333 0.2500 Np
```

Calculated values
- ΔE_f (raw) (eV/f.u.) = -8.0
- Fermi-level density of states (states/eV/cell) = 10.11
- final energy (eV per atom) = -4.204
- space group = P-31c



# 8
First-principles (PBE-GGA) data for a relaxed NpTl2AgBr6 crystal, as listed in Alexandria.

Structure (POSCAR):
```
NpTl2AgBr6
1.0
7.6419 0.0000 0.0526
0.0000 8.1689 0.0000
0.1430 0.0000 11.0096
Br Tl Ag Np
12 4 2 2
direct
0.6937 0.3064 0.9476 Br
0.6873 0.2998 0.5493 Br
0.1937 0.1936 0.4476 Br
0.1078 0.4738 0.7474 Br
0.1873 0.2002 0.0493 Br
0.8922 0.5262 0.2526 Br
0.3127 0.7002 0.4507 Br
0.3922 0.9738 0.7526 Br
0.8127 0.7998 0.9507 Br
0.6078 0.0262 0.2474 Br
0.8063 0.8064 0.5524 Br
0.3063 0.6936 0.0524 Br
0.0293 0.9176 0.2519 Tl
0.9707 0.0824 0.7481 Tl
0.4707 0.4176 0.2481 Tl
0.5293 0.5824 0.7519 Tl
0.5000 0.0000 0.0000 Ag
0.0000 0.5000 0.5000 Ag
0.5000 0.0000 0.5000 Np
0.0000 0.5000 0.0000 Np
```

Calculated values
- ΔE_f (raw) (eV/f.u.) = -9.4
- Fermi-level density of states (states/eV/cell) = 9.91
- final energy (eV per atom) = -3.996
- space group = P2_1/c